Entry 1:
Below is an optimized crystal structure of MgSc2Zn12Cu3, with properties calculated at the PBE-GGA level.

Unit cell a=7.786 b=7.786 c=7.786 alpha=59.98 beta=59.98 gamma=59.98
Fractional positions:
Sc (0.583, 0.583, 0.583)
Sc (0.417, 0.417, 0.417)
Cu (0.000, 0.000, 0.500)
Cu (0.500, 0.000, 0.000)
Cu (0.000, 0.500, 0.000)
Zn (0.761, 0.167, 0.761)
Zn (0.176, 0.176, 0.540)
Zn (0.824, 0.460, 0.824)
Zn (0.176, 0.540, 0.176)
Zn (0.460, 0.824, 0.824)
Zn (0.239, 0.239, 0.833)
Zn (0.833, 0.239, 0.239)
Zn (0.824, 0.824, 0.460)
Zn (0.540, 0.176, 0.176)
Zn (0.239, 0.833, 0.239)
Zn (0.761, 0.761, 0.167)
Zn (0.167, 0.761, 0.761)
Mg (0.000, 0.000, 0.000)

Output
The value obtained for the energy relative to the elements is 191 meV per atom. The total energy is -38.4 eV/cell. The space group is R-3m (166). The size of the total moment is 0.000 Bohr magnetons per cell.

=====

Entry 2:
Below is an optimized crystal structure of Mg2Sc5ZnCu2, with properties calculated at the PBE-GGA level.

Unit cell a=3.349 b=11.158 c=11.158 alpha=90.00 beta=90.00 gamma=90.00
Fractional positions:
Sc (0.500, 0.443, 0.301)
Sc (0.500, 0.199, 0.057)
Sc (0.500, 0.943, 0.199)
Sc (0.500, 0.557, 0.699)
Sc (0.500, 0.699, 0.443)
Sc (0.500, 0.000, 0.500)
Sc (0.500, 0.500, 0.000)
Sc (0.500, 0.301, 0.557)
Sc (0.500, 0.801, 0.943)
Sc (0.500, 0.057, 0.801)
Cu (0.000, 0.130, 0.630)
Cu (0.000, 0.370, 0.130)
Cu (0.000, 0.870, 0.370)
Cu (0.000, 0.630, 0.870)
Mg (0.000, 0.180, 0.320)
Mg (0.000, 0.680, 0.180)
Mg (0.000, 0.320, 0.820)
Mg (0.000, 0.820, 0.680)
Zn (0.000, 0.000, 0.000)
Zn (0.000, 0.500, 0.500)

Output
The value obtained for the energy relative to the elements is -155 meV per atom. The total energy is -91.7 eV/cell. The space group is P4/mbm (127). The size of the total moment is 0.000 Bohr magnetons per cell.

=====

Entry 3:
Below is an optimized crystal structure of MgZrScCu, with properties calculated at the PBE-GGA level.

Unit cell a=3.139 b=3.139 c=8.101 alpha=90.00 beta=90.00 gamma=90.00
Fractional positions:
Cu (0.000, 0.000, 0.571)
Mg (0.500, 0.500, 0.778)
Sc (0.500, 0.500, 0.358)
Zr (0.000, 0.000, 0.079)

Output
The value obtained for the energy relative to the elements is -86 meV per atom. The total energy is -20.9 eV/cell. The space group is P4mm (99). The size of the total moment is 0.000 Bohr magnetons per cell.

=====

Entry 4:
Below is an optimized crystal structure of Mg4CuSe2, with properties calculated at the PBE-GGA level.

Unit cell a=7.812 b=7.812 c=7.812 alpha=124.81 beta=124.81 gamma=81.86
Fractional positions:
Mg (0.491, 0.297, 0.500)
Mg (0.991, 0.491, 0.194)
Mg (0.797, 0.991, 0.500)
Mg (0.009, 0.509, 0.806)
Mg (0.297, 0.797, 0.806)
Mg (0.203, 0.009, 0.500)
Mg (0.703, 0.203, 0.194)
Mg (0.509, 0.703, 0.500)
Se (0.842, 0.658, 0.500)
Se (0.658, 0.158, 0.816)
Se (0.158, 0.342, 0.500)
Se (0.342, 0.842, 0.184)
Cu (0.750, 0.750, 0.000)
Cu (0.250, 0.250, 0.000)

Output
The total energy is -40.9 eV/cell. The space group is I4/mcm (140). Its energy relative to the elements, uncorrected is -0.43 eV per atom. The size of the total moment is 0.000 Bohr magnetons per cell.

=====

Entry 5:
Below is an optimized crystal structure of MgCuSe, with properties calculated at the PBE-GGA level.

Unit cell a=3.967 b=5.654 c=10.927 alpha=90.00 beta=90.00 gamma=90.00
Fractional positions:
Cu (0.250, 0.999, 0.141)
Cu (0.750, 0.001, 0.859)
Cu (0.750, 0.001, 0.641)
Cu (0.250, 0.999, 0.359)
Se (0.750, 0.244, 0.075)
Se (0.250, 0.756, 0.925)
Se (0.750, 0.244, 0.425)
Se (0.250, 0.756, 0.575)
Mg (0.750, 0.705, 0.398)
Mg (0.250, 0.295, 0.898)
Mg (0.250, 0.295, 0.602)
Mg (0.750, 0.705, 0.102)

Output
The total energy is -40.8 eV/cell. The space group is Pmmn (59). Its energy relative to the elements, uncorrected is -0.34 eV per atom. The size of the total moment is 0.000 Bohr magnetons per cell.

=====

Entry 6:
Below is an optimized crystal structure of MgCuSe2, with properties calculated at the PBE-GGA level.

Unit cell a=5.793 b=5.793 c=7.021 alpha=65.64 beta=65.64 gamma=90.00
Fractional positions:
Se (0.375, 0.347, 0.750)
Se (0.875, 0.903, 0.750)
Se (0.097, 0.625, 0.250)
Se (0.653, 0.125, 0.250)
Mg (0.250, 0.750, 0.500)
Mg (0.500, 0.500, 0.000)
Cu (0.000, 0.000, 0.000)
Cu (0.750, 0.250, 0.500)

Output
The total energy is -29.9 eV/cell. The space group is I-42d (122). Its energy relative to the elements, uncorrected is -0.58 eV per atom. The size of the total moment is 0.000 Bohr magnetons per cell.

=====

Entry 7:
Below is an optimized crystal structure of MgCuSe, with properties calculated at the PBE-GGA level.

Unit cell a=4.897 b=4.897 c=6.331 alpha=90.00 beta=90.00 gamma=135.10
Fractional positions:
Se (0.663, 0.337, 0.361)
Se (0.337, 0.663, 0.861)
Mg (0.950, 0.050, 0.156)
Mg (0.050, 0.950, 0.656)
Cu (0.643, 0.357, 0.963)
Cu (0.357, 0.643, 0.463)

Output
The total energy is -20.1 eV/cell. The space group is Cmc2_1 (36). Its energy relative to the elements, uncorrected is -0.30 eV per atom. The size of the total moment is 0.000 Bohr magnetons per cell.

=====

Entry 8:
Below is an optimized crystal structure of Mg2CuSe4, with properties calculated at the PBE-GGA level.

Unit cell a=5.886 b=5.886 c=5.886 alpha=109.25 beta=109.25 gamma=109.91
Fractional positions:
Se (0.756, 0.756, 0.511)
Se (0.244, 0.244, 0.489)
Se (0.244, 0.756, 0.000)
Se (0.756, 0.244, 0.000)
Cu (0.000, 0.000, 0.000)
Mg (0.750, 0.250, 0.500)
Mg (0.250, 0.750, 0.500)

Output
The total energy is -24.2 eV/cell. The space group is I4/mmm (139). Its energy relative to the elements, uncorrected is -0.43 eV per atom. The size of the total moment is 0.000 Bohr magnetons per cell.

=====

Entry 9:
Below is an optimized crystal structure of Mg4CuSe2, with properties calculated at the PBE-GGA level.

Unit cell a=10.230 b=10.230 c=10.230 alpha=24.87 beta=24.87 gamma=24.87
Fractional positions:
Mg (0.100, 0.100, 0.100)
Mg (0.900, 0.900, 0.900)
Mg (0.304, 0.304, 0.304)
Mg (0.696, 0.696, 0.696)
Se (0.786, 0.786, 0.786)
Se (0.214, 0.214, 0.214)
Cu (0.000, 0.000, 0.000)

Output
The total energy is -21.3 eV/cell. The space group is R-3m (166). Its energy relative to the elements, uncorrected is -0.54 eV per atom. The size of the total moment is 0.004 Bohr magnetons per cell.

=====

Entry 10:
Below is an optimized crystal structure of MgCuSe2, with properties calculated at the PBE-GGA level.

Unit cell a=6.734 b=6.734 c=3.714 alpha=90.00 beta=90.00 gamma=28.43
Fractional positions:
Se (0.971, 0.971, 0.124)
Se (0.712, 0.712, 0.626)
Cu (0.522, 0.522, 0.624)
Mg (0.295, 0.295, 0.126)

Output
The total energy is -14.7 eV/cell. The space group is Cm (8). Its energy relative to the elements, uncorrected is -0.52 eV per atom. The size of the total moment is 0.000 Bohr magnetons per cell.

=====

Entry 11:
Below is an optimized crystal structure of MgCu2Se, with properties calculated at the PBE-GGA level.

Unit cell a=4.521 b=4.521 c=4.521 alpha=60.00 beta=60.00 gamma=60.00
Fractional positions:
Cu (0.750, 0.750, 0.750)
Cu (0.250, 0.250, 0.250)
Se (0.500, 0.500, 0.500)
Mg (0.000, 0.000, 0.000)

Output
The total energy is -13.0 eV/cell. The space group is Fm-3m (225). Its energy relative to the elements, uncorrected is 0.07 eV per atom. The size of the total moment is 0.000 Bohr magnetons per cell.

=====

Entry 12:
Below is an optimized crystal structure of Mg2Cu2Se, with properties calculated at the PBE-GGA level.

Unit cell a=4.362 b=4.362 c=5.595 alpha=90.00 beta=90.00 gamma=120.00
Fractional positions:
Cu (0.667, 0.333, 0.833)
Cu (0.333, 0.667, 0.167)
Se (0.000, 0.000, 0.000)
Mg (0.667, 0.333, 0.346)
Mg (0.333, 0.667, 0.654)

Output
The total energy is -15.2 eV/cell. The space group is P-3m1 (164). Its energy relative to the elements, uncorrected is -0.06 eV per atom. The size of the total moment is 0.000 Bohr magnetons per cell.

=====

Entry 13:
Below is an optimized crystal structure of Mg2Cu2Se, with properties calculated at the PBE-GGA level.

Unit cell a=7.885 b=7.885 c=7.885 alpha=154.66 beta=154.66 gamma=36.14
Fractional positions:
Mg (0.395, 0.395, 0.000)
Mg (0.605, 0.605, 0.000)
Se (0.000, 0.000, 0.000)
Cu (0.750, 0.250, 0.500)
Cu (0.250, 0.750, 0.500)

Output
The total energy is -16.2 eV/cell. The space group is I4/mmm (139). Its energy relative to the elements, uncorrected is -0.26 eV per atom. The size of the total moment is 0.000 Bohr magnetons per cell.

=====

Entry 14:
Below is an optimized crystal structure of MgCuSe2, with properties calculated at the PBE-GGA level.

Unit cell a=11.232 b=11.232 c=11.232 alpha=156.92 beta=156.92 gamma=32.87
Fractional positions:
Se (0.687, 0.687, 0.000)
Se (0.313, 0.313, 0.000)
Se (0.000, 0.500, 0.500)
Se (0.500, 0.000, 0.500)
Mg (0.750, 0.250, 0.500)
Mg (0.250, 0.750, 0.500)
Cu (0.945, 0.945, 0.000)
Cu (0.055, 0.055, 0.000)

Output
The total energy is -27.6 eV/cell. The space group is I4/mmm (139). Its energy relative to the elements, uncorrected is -0.29 eV per atom. The size of the total moment is 0.000 Bohr magnetons per cell.

=====

Entry 15:
Below is an optimized crystal structure of MgCu2Se, with properties calculated at the PBE-GGA level.

Unit cell a=4.974 b=4.974 c=4.974 alpha=133.84 beta=133.82 gamma=67.36
Fractional positions:
Mg (0.500, 0.500, 0.000)
Se (0.250, 0.750, 0.500)
Cu (0.750, 0.250, 0.500)
Cu (0.000, 0.000, 0.000)

Output
The total energy is -13.4 eV/cell. The space group is I-4m2 (119). Its energy relative to the elements, uncorrected is -0.04 eV per atom. The size of the total moment is 0.000 Bohr magnetons per cell.

=====

Entry 16:
Below is an optimized crystal structure of Mg2Cu2Se, with properties calculated at the PBE-GGA level.

Unit cell a=3.698 b=3.698 c=13.239 alpha=90.00 beta=90.00 gamma=90.00
Fractional positions:
Mg (0.000, 0.500, 0.657)
Mg (0.500, 0.000, 0.343)
Mg (0.000, 0.000, 0.000)
Mg (0.500, 0.500, 0.000)
Cu (0.000, 0.000, 0.500)
Cu (0.500, 0.000, 0.143)
Cu (0.000, 0.500, 0.857)
Cu (0.500, 0.500, 0.500)
Se (0.500, 0.000, 0.782)
Se (0.000, 0.500, 0.218)

Output
The total energy is -29.8 eV/cell. The space group is P4/nmm (129). Its energy relative to the elements, uncorrected is -0.01 eV per atom. The size of the total moment is 0.000 Bohr magnetons per cell.

=====

Entry 17:
Below is an optimized crystal structure of Mg2CuSe9, with properties calculated at the PBE-GGA level.

Unit cell a=7.918 b=7.920 c=7.920 alpha=56.66 beta=56.66 gamma=56.66
Fractional positions:
Se (0.693, 0.693, 0.693)
Se (0.926, 0.388, 0.388)
Se (0.387, 0.388, 0.926)
Se (0.613, 0.074, 0.612)
Se (0.307, 0.307, 0.307)
Se (0.613, 0.612, 0.074)
Se (0.074, 0.612, 0.612)
Se (0.500, 0.500, 0.500)
Se (0.387, 0.926, 0.388)
Cu (0.000, 0.000, 0.000)
Mg (0.142, 0.142, 0.142)
Mg (0.858, 0.858, 0.858)

Output
The total energy is -37.0 eV/cell. The space group is R-3m (166). Its energy relative to the elements, uncorrected is 0.13 eV per atom. The size of the total moment is 0.000 Bohr magnetons per cell.

=====

Entry 18:
Below is an optimized crystal structure of Mg2CuSe3, with properties calculated at the PBE-GGA level.

Unit cell a=6.682 b=8.841 c=6.953 alpha=90.00 beta=90.00 gamma=112.21
Each line ends with the local moment (μB).
Fractional positions:
Se (0.554, 0.628, 0.250)  0.01
Se (0.926, 0.372, 0.750)  0.01
Se (0.446, 0.372, 0.750)  0.01
Se (0.087, 0.174, 0.250)  0.05
Se (0.913, 0.826, 0.750)  0.05
Se (0.074, 0.628, 0.250)  0.01
Cu (0.000, 0.000, 0.000)  0.06
Cu (0.000, 0.000, 0.500)  0.06
Mg (0.780, 0.559, 0.975)  0.00
Mg (0.220, 0.441, 0.475)  0.00
Mg (0.220, 0.441, 0.025)  0.00
Mg (0.780, 0.559, 0.525)  0.00

Output
The total energy is -42.3 eV/cell. The space group is Cmcm (63). Its energy relative to the elements, uncorrected is -0.57 eV per atom. The size of the total moment is 0.356 Bohr magnetons per cell.

=====

Entry 19:
Below is an optimized crystal structure of Mg2Cu2Se, with properties calculated at the PBE-GGA level.

Unit cell a=8.520 b=8.520 c=6.269 alpha=90.00 beta=90.00 gamma=155.56
Fractional positions:
Se (0.081, 0.919, 0.460)
Se (0.919, 0.081, 0.960)
Mg (0.469, 0.531, 0.269)
Mg (0.531, 0.469, 0.769)
Mg (0.295, 0.705, 0.504)
Mg (0.705, 0.295, 0.004)
Cu (0.319, 0.681, 0.065)
Cu (0.681, 0.319, 0.565)
Cu (0.919, 0.081, 0.568)
Cu (0.081, 0.919, 0.068)

Output
The total energy is -30.5 eV/cell. The space group is Cmc2_1 (36). Its energy relative to the elements, uncorrected is -0.07 eV per atom. The size of the total moment is 0.000 Bohr magnetons per cell.

=====

Entry 20:
Below is an optimized crystal structure of MgCuSe2, with properties calculated at the PBE-GGA level.

Unit cell a=4.482 b=4.482 c=10.611 alpha=90.00 beta=90.00 gamma=108.33
Fractional positions:
Mg (0.250, 0.750, 0.638)
Mg (0.750, 0.250, 0.362)
Se (0.250, 0.750, 0.871)
Se (0.750, 0.250, 0.129)
Se (0.750, 0.750, 0.500)
Se (0.250, 0.250, 0.500)
Cu (0.250, 0.750, 0.101)
Cu (0.750, 0.250, 0.899)

Output
The total energy is -27.4 eV/cell. The space group is Cmme (67). Its energy relative to the elements, uncorrected is -0.26 eV per atom. The size of the total moment is 0.001 Bohr magnetons per cell.